Tl2CdRe PBE relaxed; energy of formation = 0.88 eV per atom; polymorph energy (0 for the lowest one) = 232 meV/atom; E = -3.64 eV per atom; space group = P4/mmm (123); spin magnetization = 0.00 μB/cell
1.0
3.6880 0.0000 0.0000
0.0000 3.6880 0.0000
0.0000 0.0000 6.2433
Tl Cd Re
2 1 1
direct
0.0000 0.0000 0.2355
0.0000 0.0000 0.7645
0.5000 0.5000 0.5000
0.5000 0.5000 0.0000